An optimized crystal structure of LiCuO, computed with PBE-GGA.

Unit cell a=5.133 b=3.594 c=10.041 alpha=90.00 beta=106.80 gamma=90.00
Sites, in units of the cell vectors:
O 0.828 0.500 0.138
O 0.172 0.500 0.862
O 0.172 0.000 0.362
O 0.828 0.000 0.638
Cu 0.500 0.000 0.500
Cu 0.000 0.000 0.500
Cu 0.000 0.500 0.000
Cu 0.500 0.500 0.000
Li 0.836 0.500 0.703
Li 0.164 0.500 0.297
Li 0.164 0.000 0.797
Li 0.836 0.000 0.203

raw total energy: -4.79 eV/atom
formation energy (no corrections): -1137 meV/atom